Entry 1:
DFT (PBE) results for a relaxed structure of HfAlVRe.

Values from the calculation:
**Spin magnetization**: 0.614 μB/f.u.
**Final energy**: -143.61 eV per cell
**Formation energy from the elements**: -0.16 eV/atom

Lattice parameters (Å, degrees): 6.377 6.377 6.377 90.00 90.00 90.00
Space group F-43m (No. 216)
Symmetry-distinct sites (fractional):
Hf 0.000 0.000 0.000
Al 0.250 0.250 0.750
V 0.000 0.000 0.500
Re 0.250 0.250 0.250



Entry 2:
DFT (PBE) results for a relaxed structure of YMo3N.

Values from the calculation:
**Spin magnetization**: 0.000 μB/f.u.
**Final energy**: -28.90 eV per cell
**Formation energy from raw total energies**: 355 kJ per mole of atoms
**Energy relative to the lowest polymorph listed for this composition**: 3655.0 meV/atom

Lattice parameters (Å, degrees): 4.791 4.791 4.791 90.00 90.00 90.00
Space group Pm-3m (No. 221)
Symmetry-distinct sites (fractional):
Y 0.000 0.000 0.000
Mo 0.000 0.000 0.500
N 0.500 0.500 0.500



Entry 3:
DFT (PBE) results for a relaxed structure of PrCuHg.

Values from the calculation:
**Spin magnetization**: 0.000 μB/f.u.
**Final energy**: -40.42 eV per cell
**Formation energy from the elements**: -0.31 eV/atom

Lattice parameters (Å, degrees): 7.156 4.690 8.227 90.00 90.00 90.00
Space group Pnma (No. 62)
Symmetry-distinct sites (fractional):
Pr 0.009 0.250 0.221
Cu 0.222 0.750 0.412
Hg 0.208 0.250 0.581



Entry 4:
DFT (PBE) results for a relaxed structure of Si2NiHg.

Values from the calculation:
**Spin magnetization**: 0.000 μB/f.u.
**Final energy**: -30.79 eV per cell
**Formation energy from raw total energies**: 37 kJ per mole of atoms

Lattice parameters (Å, degrees): 3.161 5.044 8.192 90.00 90.00 90.00
Space group Imm2 (No. 44)
Symmetry-distinct sites (fractional):
Si 0.000 0.000 0.000
Si 0.000 0.500 0.255
Ni 0.000 0.000 0.555
Hg 0.000 0.500 0.783



Entry 5:
DFT (PBE) results for a relaxed structure of Ta2CrP6.

Values from the calculation:
**Spin magnetization**: 0.728 μB/f.u.
**Final energy**: -136.74 eV per cell
**Formation energy from the elements**: -0.29 eV/atom
**Energy relative to the lowest polymorph listed for this composition**: 0.0 meV/atom

Lattice parameters (Å, degrees): 4.398 13.025 4.901 90.00 90.00 90.00
Space group Cmmm (No. 65)
Symmetry-distinct sites (fractional):
Ta 0.000 0.164 0.000
Cr 0.000 0.500 0.000
P 0.000 0.000 0.274
P 0.000 0.343 0.275



Entry 6:
DFT (PBE) results for a relaxed structure of BiPC2.

Values from the calculation:
**Spin magnetization**: 0.000 μB/f.u.
**Final energy**: -95.30 eV per cell
**Formation energy from the elements**: 0.98 eV/atom
**Energy relative to the lowest polymorph listed for this composition**: 0.0 meV/atom

Lattice parameters (Å, degrees): 5.411 5.411 7.620 90.00 90.00 90.00
Space group I-42d (No. 122)
Symmetry-distinct sites (fractional):
Bi 0.000 0.000 0.000
P 0.000 0.000 0.500
C 0.129 0.250 0.625



Looking at DOS(E_F) for the records above, in order, we have 4.0; 6.8; 1.9; 1.2; 5.8; 0.5 states/eV/f.u..